No. 1
{
  "formula": "Be2AlAs",
  "functional": "PBE-GGA",
  "state": "optimized geometry",
  "e_above_lowest_polymorph_mev_per_atom": 82,
  "lattice": [[2.630, 0.000, 0.000], [0.000, 3.344, 0.000], [0.000, 0.000, 6.513]],
  "species": ["Be", "Be", "As", "Al"],
  "frac_coords": [[0.500, 0.500, 0.204], [0.000, 0.000, 0.036], [0.500, 0.500, 0.837], [0.000, 0.000, 0.422]]
}

---

No. 2
{
  "formula": "La2ZnPtSe",
  "functional": "PBE-GGA",
  "state": "optimized geometry",
  "raw_formation_energy_ev_per_atom": -0.457,
  "lattice": [[5.664, 0.000, 0.000], [0.000, 4.726, 0.000], [0.000, 0.000, 5.664]],
  "species": ["Zn", "La", "Pt", "La", "Se"],
  "frac_coords": [[0.500, 0.500, 0.500], [0.500, 0.000, 0.000], [0.000, 0.500, 0.000], [0.000, 0.000, 0.500], [0.000, 0.000, 0.000]]
}

---

No. 3
{
  "formula": "OsWN3",
  "functional": "PBE-GGA",
  "state": "optimized geometry",
  "raw_formation_energy_ev_per_atom": 1.600,
  "lattice": [[3.820, 0.000, 0.000], [0.000, 3.820, 0.000], [0.000, 0.000, 3.820]],
  "species": ["N", "W", "N", "N", "Os"],
  "frac_coords": [[0.000, 0.500, 0.000], [0.500, 0.500, 0.500], [0.000, 0.000, 0.500], [0.500, 0.000, 0.000], [0.000, 0.000, 0.000]]
}